1.
Material: Pa2Si3Ni5
Method: DFT, GGA-PBE
State: optimized geometry

a b c (Å): 5.6503 7.7906 7.7906
angles (deg): 78.98 68.74 68.74
Element x y z (fractional)
Pa 0.1264 0.6083 0.1389
Pa 0.6264 0.1389 0.6083
Pa 0.8736 0.3917 0.8611
Pa 0.3736 0.8611 0.3917
Si 0.3677 0.5156 0.7490
Si 0.8677 0.7490 0.5156
Si 0.6323 0.4844 0.2510
Si 0.1323 0.2510 0.4844
Si 0.2500 0.0000 0.0000
Si 0.7500 0.0000 0.0000
Ni 0.3903 0.2632 0.9562
Ni 0.8903 0.9562 0.2632
Ni 0.6097 0.7368 0.0438
Ni 0.1097 0.0438 0.7368
Ni 0.4877 0.7623 0.7623
Ni 0.5123 0.2377 0.2377
Ni 0.7500 0.5000 0.5000
Ni 0.2500 0.5000 0.5000
Ni 0.0123 0.2377 0.2377
Ni 0.9877 0.7623 0.7623

Calculated values
**Formation energy (no corrections)**: -665 meV/atom
**Total moment**: 0.00 μB/atom
**Density of states at the Fermi level**: 8.297 states/eV/f.u.

***

2.
Material: Pa2SiNi
Method: DFT, GGA-PBE
State: optimized geometry

a b c (Å): 3.7401 5.7662 8.0443
angles (deg): 111.90 90.00 90.00
Element x y z (fractional)
Pa 0.7500 0.2100 0.4415
Pa 0.2500 0.7900 0.5585
Pa 0.2500 0.7882 0.0980
Pa 0.7500 0.2118 0.9020
Si 0.2500 0.3373 0.2043
Si 0.7500 0.6627 0.7957
Ni 0.7500 0.6176 0.2838
Ni 0.2500 0.3824 0.7162

Calculated values
**Formation energy (no corrections)**: -459 meV/atom
**Total moment**: 0.00 μB/atom
**Distance to the lowest polymorph of the same formula**: 0.000 eV/f.u.
**Density of states at the Fermi level**: 5.511 states/eV/f.u.

***

3.
Material: Pa2SiNi6
Method: DFT, GGA-PBE
State: optimized geometry

a b c (Å): 5.5892 5.1877 5.1877
angles (deg): 59.99 89.98 89.98
Element x y z (fractional)
Pa 0.8101 0.6669 0.6669
Pa 0.1899 0.3331 0.3331
Si 0.0000 0.0000 0.0000
Ni 0.3214 0.3437 0.8284
Ni 0.3203 0.8280 0.8280
Ni 0.3214 0.8284 0.3437
Ni 0.6786 0.6563 0.1716
Ni 0.6797 0.1720 0.1720
Ni 0.6786 0.1716 0.6563

Calculated values
**Formation energy (no corrections)**: -527 meV/atom
**Total moment**: 0.00 μB/atom
**Distance to the lowest polymorph of the same formula**: 0.000 eV/f.u.
**Density of states at the Fermi level**: 8.992 states/eV/f.u.

***

4.
Material: Pa3SiNi2
Method: DFT, GGA-PBE
State: optimized geometry

a b c (Å): 6.6540 6.6540 6.6540
angles (deg): 69.40 69.40 69.40
Element x y z (fractional)
Pa 0.4299 0.0701 0.7500
Pa 0.0701 0.7500 0.4299
Pa 0.7500 0.4299 0.0701
Pa 0.5701 0.9299 0.2500
Pa 0.9299 0.2500 0.5701
Pa 0.2500 0.5701 0.9299
Si 0.5000 0.5000 0.5000
Si 0.0000 0.0000 0.0000
Ni 0.3367 0.3367 0.3367
Ni 0.1633 0.1633 0.1633
Ni 0.8367 0.8367 0.8367
Ni 0.6633 0.6633 0.6633

Calculated values
**Formation energy (no corrections)**: -188 meV/atom
**Total moment**: 0.00 μB/atom
**Density of states at the Fermi level**: 9.913 states/eV/f.u.

***

5.
Material: PaSi4Ni6
Method: DFT, GGA-PBE
State: optimized geometry

a b c (Å): 3.7481 6.6041 6.6041
angles (deg): 120.00 90.00 90.00
Element x y z (fractional)
Pa 0.0000 0.0000 0.0000
Si 0.5000 0.7999 0.5998
Si 0.5000 0.4002 0.2001
Si 0.5000 0.7999 0.2001
Si 0.0000 0.3333 0.6667
Ni 0.0000 0.5350 0.0700
Ni 0.5000 0.5962 0.7981
Ni 0.0000 0.5350 0.4650
Ni 0.0000 0.9300 0.4650
Ni 0.5000 0.2019 0.7981
Ni 0.5000 0.2019 0.4038

Calculated values
**Formation energy (no corrections)**: -632 meV/atom
**Total moment**: 0.00 μB/atom
**Density of states at the Fermi level**: 10.650 states/eV/f.u.

***

6.
Material: Pa3Si4Ni7
Method: DFT, GGA-PBE
State: optimized geometry

a b c (Å): 3.9909 7.7257 7.5464
angles (deg): 70.77 74.67 75.03
Element x y z (fractional)
Pa 0.3154 0.1905 0.1786
Pa 0.6846 0.8095 0.8214
Pa 0.0000 0.5000 0.5000
Si 0.6654 0.4750 0.1942
Si 0.3346 0.5250 0.8058
Si 0.8772 0.8986 0.3470
Si 0.1228 0.1014 0.6530
Ni 0.3184 0.8137 0.5494
Ni 0.5033 0.2071 0.7862
Ni 0.8681 0.3606 0.9032
Ni 0.6816 0.1863 0.4506
Ni 0.1319 0.6394 0.0968
Ni 0.0000 0.0000 0.0000
Ni 0.4967 0.7929 0.2138

Calculated values
**Formation energy (no corrections)**: -654 meV/atom
**Total moment**: 0.00 μB/atom
**Density of states at the Fermi level**: 12.199 states/eV/f.u.

***

7.
Material: PaSiNi2
Method: DFT, GGA-PBE
State: optimized geometry

a b c (Å): 4.0041 3.3439 4.9795
angles (deg): 89.99 90.00 90.00
Element x y z (fractional)
Pa 0.5000 0.5000 0.0000
Si 0.5000 0.0000 0.5000
Ni 0.0000 0.0000 0.2506
Ni 0.0000 0.0000 0.7494

Calculated values
**Formation energy (no corrections)**: -377 meV/atom
**Total moment**: 0.00 μB/atom
**Density of states at the Fermi level**: 2.983 states/eV/f.u.

***

8.
Material: Pa4Si5Ni2
Method: DFT, GGA-PBE
State: optimized geometry

a b c (Å): 3.9959 6.7377 7.7831
angles (deg): 89.58 90.00 90.00
Element x y z (fractional)
Pa 0.5000 0.7563 0.6143
Pa 0.5000 0.2329 0.8657
Pa 0.5000 0.2437 0.3857
Pa 0.5000 0.7671 0.1343
Si 0.0000 0.5654 0.3546
Si 0.0000 0.1116 0.1232
Si 0.0000 0.5000 0.0000
Si 0.0000 0.8884 0.8768
Si 0.0000 0.4346 0.6454
Ni 0.0000 0.0889 0.6324
Ni 0.0000 0.9111 0.3676

Calculated values
**Formation energy (no corrections)**: -526 meV/atom
**Total moment**: 0.00 μB/atom
**Density of states at the Fermi level**: 12.568 states/eV/f.u.

***

9.
Material: Pa3Si4Ni4
Method: DFT, GGA-PBE
State: optimized geometry

a b c (Å): 3.9974 6.6467 7.7762
angles (deg): 115.30 104.89 90.00
Element x y z (fractional)
Pa 0.1305 0.1305 0.2609
Pa 0.8695 0.8695 0.7391
Pa 0.0000 0.5000 0.0000
Si 0.3416 0.1608 0.6832
Si 0.6584 0.4776 0.3168
Si 0.6584 0.8392 0.3168
Si 0.3416 0.5224 0.6832
Ni 0.2158 0.7158 0.4316
Ni 0.7842 0.2842 0.5684
Ni 0.5000 0.8121 0.0000
Ni 0.5000 0.1879 0.0000

Calculated values
**Formation energy (no corrections)**: -575 meV/atom
**Total moment**: 0.00 μB/atom
**Distance to the lowest polymorph of the same formula**: 1.963 eV/f.u.
**Density of states at the Fermi level**: 13.120 states/eV/f.u.

***

10.
Material: Pa2TaSi4Ni3
Method: DFT, GGA-PBE
State: optimized geometry

a b c (Å): 3.9819 3.9819 10.0799
angles (deg): 90.00 90.00 90.00
Element x y z (fractional)
Pa 0.5000 0.0000 0.2362
Pa 0.0000 0.5000 0.7638
Ta 0.5000 0.5000 0.5000
Si 0.5000 0.5000 0.0000
Si 0.0000 0.0000 0.0000
Si 0.5000 0.0000 0.6561
Si 0.0000 0.5000 0.3439
Ni 0.0000 0.0000 0.5000
Ni 0.5000 0.0000 0.8840
Ni 0.0000 0.5000 0.1160

Calculated values
**Formation energy (no corrections)**: -655 meV/atom
**Total moment**: 0.00 μB/atom
**Density of states at the Fermi level**: 10.605 states/eV/f.u.

***

11.
Material: PaSiTcNi
Method: DFT, GGA-PBE
State: optimized geometry

a b c (Å): 3.5986 4.3224 4.7688
angles (deg): 90.00 90.00 90.00
Element x y z (fractional)
Pa 0.5000 0.5000 0.5000
Si 0.0000 0.0000 0.0000
Tc 0.0000 0.0000 0.5000
Ni 0.0000 0.5000 0.0000

Calculated values
**Formation energy (no corrections)**: -123 meV/atom
**Total moment**: 0.00 μB/atom
**Density of states at the Fermi level**: 3.167 states/eV/f.u.

***

12.
Material: Pa2Si3TcNi4
Method: DFT, GGA-PBE
State: optimized geometry

a b c (Å): 3.8313 3.8313 10.3396
angles (deg): 90.00 90.00 90.00
Element x y z (fractional)
Pa 0.5000 0.0000 0.2526
Pa 0.0000 0.5000 0.7474
Si 0.0000 0.0000 0.5000
Si 0.5000 0.0000 0.8799
Si 0.0000 0.5000 0.1201
Tc 0.5000 0.5000 0.5000
Ni 0.5000 0.5000 0.0000
Ni 0.0000 0.0000 0.0000
Ni 0.5000 0.0000 0.6591
Ni 0.0000 0.5000 0.3409

Calculated values
**Formation energy (no corrections)**: -607 meV/atom
**Total moment**: 0.00 μB/atom
**Density of states at the Fermi level**: 9.706 states/eV/f.u.

***

13.
Material: ThPaSi2Ni2
Method: DFT, GGA-PBE
State: optimized geometry

a b c (Å): 4.0684 4.0684 7.8189
angles (deg): 90.00 90.00 120.00
Element x y z (fractional)
Th 0.0000 0.0000 0.0000
Pa 0.0000 0.0000 0.5000
Si 0.6667 0.3333 0.2582
Si 0.3333 0.6667 0.7418
Ni 0.6667 0.3333 0.7250
Ni 0.3333 0.6667 0.2750

Calculated values
**Formation energy (no corrections)**: -763 meV/atom
**Total moment**: 0.00 μB/atom
**Density of states at the Fermi level**: 6.409 states/eV/f.u.

***

14.
Material: ThPaSi2Ni4
Method: DFT, GGA-PBE
State: optimized geometry

a b c (Å): 4.0047 4.0047 8.4716
angles (deg): 90.00 90.00 90.00
Element x y z (fractional)
Th 0.0000 0.0000 0.5000
Pa 0.0000 0.0000 0.0000
Si 0.5000 0.5000 0.3497
Si 0.5000 0.5000 0.6503
Ni 0.0000 0.5000 0.2152
Ni 0.5000 0.0000 0.7848
Ni 0.5000 0.0000 0.2152
Ni 0.0000 0.5000 0.7848

Calculated values
**Formation energy (no corrections)**: -459 meV/atom
**Total moment**: 0.00 μB/atom
**Density of states at the Fermi level**: 5.111 states/eV/f.u.

***

15.
Material: Pa2TiSi4Ni3
Method: DFT, GGA-PBE
State: optimized geometry

a b c (Å): 3.9933 3.9933 9.9129
angles (deg): 90.00 90.00 90.00
Each line ends with the local moment (μB).
Element x y z (fractional)
Pa 0.5000 0.0000 0.2391  0.21
Pa 0.0000 0.5000 0.7609  0.21
Ti 0.5000 0.5000 0.5000  0.31
Si 0.5000 0.5000 0.0000  0.00
Si 0.0000 0.0000 0.0000  0.00
Si 0.5000 0.0000 0.6515  -0.01
Si 0.0000 0.5000 0.3485  -0.01
Ni 0.0000 0.0000 0.5000  0.11
Ni 0.5000 0.0000 0.8839  0.01
Ni 0.0000 0.5000 0.1161  0.01

Calculated values
**Formation energy (no corrections)**: -708 meV/atom
**Total moment**: 0.11 μB/atom
**Density of states at the Fermi level**: 10.312 states/eV/f.u.

***

16.
Material: Pa2Zn2Si4Ni
Method: DFT, GGA-PBE
State: optimized geometry

a b c (Å): 5.9652 5.9652 5.9652
angles (deg): 91.12 119.36 119.36
Element x y z (fractional)
Pa 0.5000 0.7500 0.2500
Pa 0.5000 0.2500 0.7500
Zn 0.0000 0.7107 0.7107
Zn 0.0000 0.2893 0.2893
Si 0.0000 0.7255 0.2745
Si 0.4511 0.7255 0.7255
Si 0.0000 0.2745 0.7255
Si 0.5489 0.2745 0.2745
Ni 0.0000 0.0000 0.0000

Calculated values
**Formation energy (no corrections)**: -386 meV/atom
**Total moment**: 0.00 μB/atom
**Density of states at the Fermi level**: 8.499 states/eV/f.u.

***

17.
Material: Sm3PaNi8
Method: DFT, GGA-PBE
State: optimized geometry

a b c (Å): 5.1099 5.1099 8.8400
angles (deg): 73.20 73.20 60.00
Element x y z (fractional)
Sm 0.3747 0.3747 0.8758
Sm 0.0009 0.0009 0.9974
Sm 0.4992 0.4992 0.5023
Pa 0.8745 0.8745 0.3765
Ni 0.9348 0.4364 0.1923
Ni 0.4427 0.9373 0.6827
Ni 0.4364 0.4364 0.1923
Ni 0.9373 0.9373 0.6827
Ni 0.1880 0.1880 0.4360
Ni 0.6876 0.6876 0.9371
Ni 0.4364 0.9348 0.1923
Ni 0.9373 0.4427 0.6827

Calculated values
**Formation energy from the elements**: -337 meV per atom
**Total moment**: 0.00 μB/atom
**Density of states at the Fermi level**: 8.169 states/eV/f.u.

***

18.
Material: SmPaNi10
Method: DFT, GGA-PBE
State: optimized geometry

a b c (Å): 3.9936 4.8863 8.4199
angles (deg): 90.00 90.00 90.00
Each line ends with the local moment (μB).
Element x y z (fractional)
Sm 0.0000 0.0000 0.0000  -0.03
Pa 0.0000 0.5000 0.5000  -0.14
Ni 0.0000 0.0000 0.3398  0.14
Ni 0.0000 0.5000 0.8224  0.14
Ni 0.0000 0.5000 0.1776  0.14
Ni 0.0000 0.0000 0.6602  0.14
Ni 0.5000 0.0000 0.5000  0.23
Ni 0.5000 0.5000 0.0000  0.21
Ni 0.5000 0.2533 0.2549  0.21
Ni 0.5000 0.7467 0.7451  0.21
Ni 0.5000 0.7467 0.2549  0.21
Ni 0.5000 0.2533 0.7451  0.21

Calculated values
**Formation energy from the elements**: -350 meV per atom
**Total moment**: 0.13 μB/atom
**Density of states at the Fermi level**: 14.157 states/eV/f.u.

***

19.
Material: SmPaTcNi
Method: DFT, GGA-PBE
State: optimized geometry

a b c (Å): 4.8556 4.8556 4.8556
angles (deg): 60.00 60.00 60.00
Element x y z (fractional)
Ni 0.2500 0.2500 0.2500
Pa 0.0000 0.0000 0.0000
Tc 0.7500 0.7500 0.7500
Sm 0.5000 0.5000 0.5000

Calculated values
**Formation energy from the elements**: -83 meV per atom
**Total moment**: 0.00 μB/atom
**Density of states at the Fermi level**: 4.239 states/eV/f.u.

***

20.
Material: Pa2NiSn8
Method: DFT, GGA-PBE
State: optimized geometry

a b c (Å): 4.5994 4.5994 12.5739
angles (deg): 90.00 90.00 90.00
Element x y z (fractional)
Pa 0.0000 0.0000 0.3140
Pa 0.0000 0.0000 0.6860
Ni 0.0000 0.0000 0.0000
Sn 0.0000 0.5000 0.5000
Sn 0.5000 0.0000 0.5000
Sn 0.5000 0.5000 0.3136
Sn 0.5000 0.5000 0.6864
Sn 0.0000 0.5000 0.1218
Sn 0.5000 0.0000 0.1218
Sn 0.0000 0.5000 0.8782
Sn 0.5000 0.0000 0.8782

Calculated values
**Formation energy from the elements**: -198 meV per atom
**Total moment**: 0.00 μB/atom
**Density of states at the Fermi level**: 10.299 states/eV/f.u.